(1)
# KAg2I4 | Alexandria via LeMat-Bulk | PBE | relaxed
data_KAg2I4
_space_group_name_H-M_alt 'C c c m'
_space_group_IT_number 66
_space_group_name_Hall '-C 2 2c'
_cell_length_a 6.827
_cell_length_b 12.599
_cell_length_c 12.932
_cell_angle_alpha 90.00
_cell_angle_beta 90.00
_cell_angle_gamma 90.00
loop_
_atom_site_label
_atom_site_type_symbol
_atom_site_fract_x
_atom_site_fract_y
_atom_site_fract_z
K1 K 0.000 0.000 0.250
Ag1 Ag 0.035 0.261 0.000
I1 I 0.236 0.083 0.500
I2 I 0.250 0.250 0.187
# - distance to the lowest polymorph of the same formula (meV/atom) = 0.0
# - total energy (eV per formula unit) = -16.5
# - total magnetic moment (μB/cell) = 0.00
# - uncorrected formation energy (meV/atom) = -506

(2)
# BClF | Alexandria via LeMat-Bulk | PBE | relaxed
data_BClF
_space_group_name_H-M_alt 'P m n 21'
_space_group_IT_number 31
_cell_length_a 3.903
_cell_length_b 5.333
_cell_length_c 6.749
_cell_angle_alpha 90.00
_cell_angle_beta 90.00
_cell_angle_gamma 90.00
loop_
_space_group_symop_operation_xyz
'x,y,z'
'-x+1/2,-y,z+1/2'
'-x,y,z'
'x+1/2,-y,z+1/2'
loop_
_atom_site_label
_atom_site_type_symbol
_atom_site_fract_x
_atom_site_fract_y
_atom_site_fract_z
B1 B 0.000 0.228 0.000
Cl1 Cl 0.000 0.898 0.498
F1 F 0.000 0.474 0.003
# - distance to the lowest polymorph of the same formula (meV/atom) = 716.0
# - total energy (eV per formula unit) = -12.9
# - total magnetic moment (μB/cell) = 0.32
# - uncorrected formation energy (meV/atom) = -822

(3)
# AlGaHg | Alexandria via LeMat-Bulk | PBE | relaxed
data_AlGaHg
_space_group_name_H-M_alt 'P -1'
_space_group_IT_number 2
_cell_length_a 3.022
_cell_length_b 5.868
_cell_length_c 7.246
_cell_angle_alpha 77.11
_cell_angle_beta 89.98
_cell_angle_gamma 89.98
loop_
_space_group_symop_operation_xyz
'x,y,z'
'-x,-y,-z'
loop_
_atom_site_label
_atom_site_type_symbol
_atom_site_fract_x
_atom_site_fract_y
_atom_site_fract_z
Al1 Al 0.250 0.174 0.381
Ga1 Ga 0.251 0.662 0.348
Hg1 Hg 0.249 0.767 0.956
# - total energy (eV per formula unit) = -6.9
# - total magnetic moment (μB/cell) = 0.00

(4)
# KRbAsNCl | Alexandria via LeMat-Bulk | PBE | relaxed
data_KRbAsNCl
_space_group_name_H-M_alt 'P 1 m 1'
_space_group_IT_number 6
_cell_length_a 4.089
_cell_length_b 3.919
_cell_length_c 9.729
_cell_angle_alpha 90.00
_cell_angle_beta 102.13
_cell_angle_gamma 90.00
loop_
_space_group_symop_operation_xyz
'x,y,z'
'x,-y,z'
loop_
_atom_site_label
_atom_site_type_symbol
_atom_site_fract_x
_atom_site_fract_y
_atom_site_fract_z
K1 K 0.000 0.000 0.000
Rb1 Rb 0.718 0.000 0.430
As1 As 0.363 0.500 0.725
N1 N 0.451 0.500 0.903
Cl1 Cl 0.141 0.500 0.276
# - distance to the lowest polymorph of the same formula (meV/atom) = 0.0
# - total energy (eV per formula unit) = -20.0
# - total magnetic moment (μB/cell) = 0.00
# - uncorrected formation energy (meV/atom) = -621

(5)
# Y2ZrHg | Alexandria via LeMat-Bulk | PBE | relaxed
data_Y2ZrHg
_space_group_name_H-M_alt 'F -4 3 m'
_space_group_IT_number 216
_space_group_name_Hall 'F -4 2 3'
_cell_length_a 7.436
_cell_length_b 7.436
_cell_length_c 7.436
_cell_angle_alpha 90.00
_cell_angle_beta 90.00
_cell_angle_gamma 90.00
loop_
_atom_site_label
_atom_site_type_symbol
_atom_site_fract_x
_atom_site_fract_y
_atom_site_fract_z
Y1 Y 0.000 0.000 0.000
Y2 Y 0.250 0.250 0.250
Zr1 Zr 0.250 0.250 0.750
Hg1 Hg 0.000 0.000 0.500
# - total energy (eV per formula unit) = -21.5
# - total magnetic moment (μB/cell) = 5.73

(6)
# ZrCdSi2 | Alexandria via LeMat-Bulk | PBE | relaxed
data_ZrCdSi2
_space_group_name_H-M_alt 'P m m 2'
_space_group_IT_number 25
_cell_length_a 2.886
_cell_length_b 4.787
_cell_length_c 5.236
_cell_angle_alpha 90.00
_cell_angle_beta 90.00
_cell_angle_gamma 90.00
loop_
_space_group_symop_operation_xyz
'x,y,z'
'-x,-y,z'
'-x,y,z'
'x,-y,z'
loop_
_atom_site_label
_atom_site_type_symbol
_atom_site_fract_x
_atom_site_fract_y
_atom_site_fract_z
Zr1 Zr 0.000 0.000 0.000
Cd1 Cd 0.500 0.500 0.715
Si1 Si 0.500 0.000 0.471
Si2 Si 0.500 0.500 0.208
# - total energy (eV per formula unit) = -20.6
# - total magnetic moment (μB/cell) = 0.00
# - uncorrected formation energy (meV/atom) = -76

(7)
# TbNdHo2Er6 | Alexandria via LeMat-Bulk | PBE | relaxed
data_TbNdHo2Er6
_space_group_name_H-M_alt 'C 1 2/c 1'
_space_group_IT_number 15
_cell_length_a 9.042
_cell_length_b 14.940
_cell_length_c 9.459
_cell_angle_alpha 90.00
_cell_angle_beta 96.84
_cell_angle_gamma 90.00
loop_
_space_group_symop_operation_xyz
'x,y,z'
'-x,-y,-z'
'-x,y,-z+1/2'
'x,-y,z+1/2'
'x+1/2,y+1/2,z'
'-x+1/2,-y+1/2,-z'
'-x+1/2,y+1/2,-z+1/2'
'x+1/2,-y+1/2,z+1/2'
loop_
_atom_site_label
_atom_site_type_symbol
_atom_site_fract_x
_atom_site_fract_y
_atom_site_fract_z
Tb1 Tb 0.000 0.091 0.250
Nd1 Nd 0.000 0.473 0.750
Ho1 Ho 0.250 0.053 0.953
Er1 Er 0.063 0.314 0.442
Er2 Er 0.099 0.109 0.618
Er3 Er 0.207 0.273 0.818
# - total energy (eV per formula unit) = -44.7
# - total magnetic moment (μB/cell) = 0.00

(8)
# LaMg5Pt3 | Alexandria via LeMat-Bulk | PBE | relaxed
data_LaMg5Pt3
_space_group_name_H-M_alt 'C m c m'
_space_group_IT_number 63
_space_group_name_Hall '-C 2c 2'
_cell_length_a 4.113
_cell_length_b 14.326
_cell_length_c 12.804
_cell_angle_alpha 90.00
_cell_angle_beta 90.00
_cell_angle_gamma 90.00
loop_
_atom_site_label
_atom_site_type_symbol
_atom_site_fract_x
_atom_site_fract_y
_atom_site_fract_z
La1 La 0.000 0.166 0.250
Mg1 Mg 0.000 0.000 0.000
Mg2 Mg 0.000 0.199 0.554
Mg3 Mg 0.000 0.437 0.143
Pt1 Pt 0.000 0.139 0.750
Pt2 Pt 0.000 0.384 0.565
# - total energy (eV per formula unit) = -37.4
# - total magnetic moment (μB/cell) = 0.00

(9)
# CaPBr2 | Alexandria via LeMat-Bulk | PBE | relaxed
data_CaPBr2
_space_group_name_H-M_alt 'I m m m'
_space_group_IT_number 71
_space_group_name_Hall '-I 2 2'
_cell_length_a 3.603
_cell_length_b 5.978
_cell_length_c 9.365
_cell_angle_alpha 90.00
_cell_angle_beta 90.00
_cell_angle_gamma 90.00
loop_
_atom_site_label
_atom_site_type_symbol
_atom_site_fract_x
_atom_site_fract_y
_atom_site_fract_z
Ca1 Ca 0.000 0.000 0.000
P1 P 0.000 0.000 0.500
Br1 Br 0.000 0.500 0.246
# - distance to the lowest polymorph of the same formula (meV/atom) = 385.1
# - total energy (eV per formula unit) = -12.6
# - total magnetic moment (μB/cell) = 0.00
# - uncorrected formation energy (meV/atom) = -469

(10)
# Ac2InSnAu6 | Alexandria via LeMat-Bulk | PBE | relaxed
data_Ac2InSnAu6
_space_group_name_H-M_alt 'F m -3 m'
_space_group_IT_number 225
_space_group_name_Hall '-F 4 2 3'
_cell_length_a 10.430
_cell_length_b 10.430
_cell_length_c 10.430
_cell_angle_alpha 90.00
_cell_angle_beta 90.00
_cell_angle_gamma 90.00
loop_
_atom_site_label
_atom_site_type_symbol
_atom_site_fract_x
_atom_site_fract_y
_atom_site_fract_z
Ac1 Ac 0.250 0.250 0.250
In1 In 0.000 0.000 0.000
Sn1 Sn 0.000 0.000 0.500
Au1 Au 0.000 0.000 0.250
# - total energy (eV per formula unit) = -37.2
# - total magnetic moment (μB/cell) = 0.00

(11)
# Ta2FeSe | Alexandria via LeMat-Bulk | PBE | relaxed
data_Ta2FeSe
_space_group_name_H-M_alt 'C m m 2'
_space_group_IT_number 35
_cell_length_a 3.551
_cell_length_b 4.800
_cell_length_c 7.874
_cell_angle_alpha 90.00
_cell_angle_beta 90.00
_cell_angle_gamma 90.00
loop_
_space_group_symop_operation_xyz
'x,y,z'
'-x,-y,z'
'-x,y,z'
'x,-y,z'
'x+1/2,y+1/2,z'
'-x+1/2,-y+1/2,z'
'-x+1/2,y+1/2,z'
'x+1/2,-y+1/2,z'
loop_
_atom_site_label
_atom_site_type_symbol
_atom_site_fract_x
_atom_site_fract_y
_atom_site_fract_z
Ta1 Ta 0.000 0.000 0.000
Ta2 Ta 0.000 0.500 0.277
Fe1 Fe 0.000 0.500 0.756
Se1 Se 0.000 0.000 0.527
# - total energy (eV per formula unit) = -35.2
# - total magnetic moment (μB/cell) = 4.47
# - uncorrected formation energy (meV/atom) = 114

(12)
# CsPrAgCl6 | Alexandria via LeMat-Bulk | PBE | relaxed
data_CsPrAgCl6
_space_group_name_H-M_alt 'I m m a'
_space_group_IT_number 74
_space_group_name_Hall '-I 2b 2'
_cell_length_a 9.363
_cell_length_b 10.166
_cell_length_c 14.275
_cell_angle_alpha 90.00
_cell_angle_beta 90.00
_cell_angle_gamma 90.00
loop_
_atom_site_label
_atom_site_type_symbol
_atom_site_fract_x
_atom_site_fract_y
_atom_site_fract_z
Cs1 Cs 0.000 0.250 0.037
Pr1 Pr 0.000 0.000 0.500
Ag1 Ag 0.250 0.250 0.750
Cl1 Cl 0.000 0.250 0.418
Cl2 Cl 0.000 0.250 0.790
Cl3 Cl 0.229 0.063 0.615
# - total energy (eV per formula unit) = -33.4
# - total magnetic moment (μB/cell) = 0.00
# - uncorrected formation energy (meV/atom) = -1539